SmSi2Ag | PBE | relaxed

Results
**Raw total energy**: -5.079 eV per atom
**Formation energy (no corrections)**: -475 meV/atom
**Magnetization**: 0.00 μB/cell
**Volume**: 314.99 Å³/cell

Unit cell a=6.828 b=4.224 c=10.921 alpha=90.00 beta=90.00 gamma=90.00
Fractional coordinates of all 16 atoms:
Sm1 0.147 0.250 0.149
Sm2 0.353 0.750 0.649
Sm3 0.647 0.250 0.351
Sm4 0.853 0.750 0.851
Si1 0.026 0.250 0.664
Si2 0.172 0.250 0.858
Si3 0.328 0.750 0.358
Si4 0.474 0.750 0.164
Si5 0.526 0.250 0.836
Si6 0.672 0.250 0.642
Si7 0.828 0.750 0.142
Si8 0.974 0.750 0.336
Ag1 0.156 0.250 0.445
Ag2 0.344 0.750 0.945
Ag3 0.656 0.250 0.055
Ag4 0.844 0.750 0.555